Compound: PrP5
Source: Alexandria via LeMat-Bulk
Functional: PBE-GGA
Structure: relaxed

Calculated values
VASP energy: -5.84 eV/atom
calculated formation energy: -0.53 eV/atom
D(E_F): 0.4 states/eV per cell

Cell: 5.0778 9.6321 5.4941 Å, 90.00 102.01 90.00°
Space group P2_1/m (No. 11)
Unique sites:
Pr 0.0095 0.2500 0.3487 x2
P 0.2913 0.2500 0.9009 x2
P 0.2944 0.5301 0.4024 x4
P 0.3854 0.5903 0.0482 x4